TmCo6B4 (PBE, relaxed); energy relative to the elements = -0.313 eV/atom; calculated volume = 105 Å³/cell; space-group type = P-6m2
1.0
3.242 0.000 0.000
0.000 6.128 0.000
0.000 -3.064 5.307
Co B Tm
6 4 1
Direct
0.500 0.203 0.405
0.500 0.203 0.797
0.500 0.595 0.797
0.000 0.929 0.465
0.000 0.535 0.465
0.000 0.535 0.071
0.500 0.792 0.585
0.000 0.333 0.667
0.500 0.415 0.208
0.500 0.792 0.208
0.000 0.000 0.000

BaVBr2 (PBE, relaxed); energy above the most stable polymorph in this dataset = 66 meV per atom; uncorrected formation energy = -0.51 eV per atom; calculated volume = 142 Å³/cell; space-group type = R-3m
1.0
3.830 -7.912 3.840
6.516 -7.001 0.738
6.843 -5.044 4.443
Br V Ba
2 1 1
Direct
0.881 0.881 0.881
0.119 0.119 0.119
0.500 0.500 0.500
0.000 0.000 0.000

CaH3Ir (PBE, relaxed); total DFT energy (no corrections) = -4.627 eV/atom; calculated volume = 106 Å³/cell; space-group type = Cm
1.0
4.911 0.000 0.058
0.000 3.753 0.002
-0.229 1.873 5.759
H Ca Ir
6 2 2
Direct
0.801 0.734 0.887
0.271 0.730 0.896
0.030 0.334 0.686
0.204 0.965 0.425
0.783 0.099 0.157
0.541 0.507 0.341
0.033 0.553 0.248
0.537 0.289 0.776
0.543 0.004 0.347
0.033 0.834 0.688